Entry 1:
A geometry-optimized Tb7SbS5 structure. Source: the Alexandria database, functional GGA-PBE.

Its total magnetic moment is 0.001 Bohr magnetons per cell. The calculation puts the calculated total energy at -6.13 eV/atom. For the uncorrected formation energy, the calculation gives -1.733 eV/atom. The crystal system is orthorhombic.

It has space group Cmcm (No. 63), with a = 3.9918 Å, b = 12.9020 Å, c = 23.5524 Å, α = 90.00°, β = 90.00° and γ = 90.00°. Symmetry generates all atoms from Tb at (0.0000, 0.0182, 0.2500), Tb at (0.0000, 0.1371, 0.5368), Tb at (0.0000, 0.3208, 0.1731), Tb at (0.0000, 0.4075, 0.6120), Sb at (0.0000, 0.3031, 0.7500), S at (0.0000, 0.0456, 0.6405), S at (0.0000, 0.2252, 0.0699) and S at (0.0000, 0.5000, 0.0000).



Entry 2:
A geometry-optimized Tb3SbS6 structure. Source: the Alexandria database, functional GGA-PBE.

Its total magnetic moment is 0.000 Bohr magnetons per cell. The calculation puts the calculated total energy at -5.86 eV/atom. As for the distance to the lowest polymorph of the same formula: 0 meV per atom. For the uncorrected formation energy, the calculation gives -1.580 eV/atom. The crystal system is monoclinic.

It has space group P2_1/m (No. 11), with a = 11.2947 Å, b = 4.0155 Å, c = 11.3849 Å, α = 90.00°, β = 109.12° and γ = 90.00°. Symmetry generates all atoms from Tb at (0.0734, 0.2500, 0.1669), Tb at (0.1661, 0.7500, 0.4929), Tb at (0.3388, 0.2500, 0.9241), Sb at (0.4927, 0.2500, 0.3165), S at (0.0144, 0.2500, 0.3827), S at (0.1029, 0.2500, 0.9350), S at (0.2316, 0.7500, 0.2808), S at (0.3051, 0.7500, 0.7453), S at (0.3886, 0.2500, 0.5351) and S at (0.4229, 0.7500, 0.0938).



Entry 3:
A geometry-optimized Tb2SbS5 structure. Source: the Alexandria database, functional GGA-PBE.

Its total magnetic moment is 0.000 Bohr magnetons per cell. The calculation puts the calculated total energy at -5.58 eV/atom. As for the distance to the lowest polymorph of the same formula: 0 meV per atom. For the uncorrected formation energy, the calculation gives -1.331 eV/atom. The crystal system is orthorhombic.

It has space group Pbam (No. 55), with a = 7.7071 Å, b = 11.4255 Å, c = 3.9063 Å, α = 90.00°, β = 90.00° and γ = 90.00°. Symmetry generates all atoms from Tb at (0.0288, 0.1734, 0.0000), Sb at (0.0000, 0.5000, 0.5000), S at (0.0000, 0.0000, 0.5000), S at (0.1730, 0.4012, 0.0000) and S at (0.1811, 0.6981, 0.5000).



Entry 4:
A geometry-optimized Tb5Sb4S structure. Source: the Alexandria database, functional GGA-PBE.

Its total magnetic moment is 0.000 Bohr magnetons per cell. The calculation puts the calculated total energy at -5.66 eV/atom. As for the distance to the lowest polymorph of the same formula: 17 meV per atom. For the uncorrected formation energy, the calculation gives -1.280 eV/atom. The crystal system is tetragonal.

It has space group I4/mmm (No. 139), with a = 4.3321 Å, b = 4.3321 Å, c = 30.4309 Å, α = 90.00°, β = 90.00° and γ = 90.00°. Symmetry generates all atoms from Tb at (0.0000, 0.0000, 0.0000), Tb at (0.0000, 0.0000, 0.2008), Tb at (0.0000, 0.0000, 0.4070), Sb at (0.0000, 0.0000, 0.0987), Sb at (0.0000, 0.0000, 0.3031) and S at (0.0000, 0.0000, 0.5000).



Entry 5:
A geometry-optimized Tb6SbS5 structure. Source: the Alexandria database, functional GGA-PBE.

Its total magnetic moment is 0.000 Bohr magnetons per cell. The calculation puts the calculated total energy at -6.21 eV/atom. For the uncorrected formation energy, the calculation gives -1.828 eV/atom. The crystal system is monoclinic.

It has space group C2/m (No. 12), with a = 6.9372 Å, b = 12.0227 Å, c = 6.9857 Å, α = 90.00°, β = 109.44° and γ = 90.00°. Symmetry generates all atoms from Tb at (0.2367, 0.1741, 0.2337), Tb at (0.2388, 0.0000, 0.7626), Sb at (0.0000, 0.5000, 0.5000), S at (0.0000, 0.0000, 0.0000), S at (0.0000, 0.1677, 0.5000) and S at (0.0000, 0.3402, 0.0000).



Entry 6:
A geometry-optimized Tb3Sb2S structure. Source: the Alexandria database, functional GGA-PBE.

Its total magnetic moment is 0.000 Bohr magnetons per cell. The calculation puts the calculated total energy at -5.78 eV/atom. As for the distance to the lowest polymorph of the same formula: 0 meV per atom. For the uncorrected formation energy, the calculation gives -1.400 eV/atom. The crystal system is orthorhombic.

It has space group Fddd (No. 70, origin choice 2), with a = 8.5135 Å, b = 12.0511 Å, c = 25.4647 Å, α = 90.00°, β = 90.00° and γ = 90.00°. Symmetry generates all atoms from Tb at (0.1058, 0.3750, 0.3750), Tb at (0.1172, 0.3689, 0.2116), Sb at (0.1250, 0.1250, 0.3768), Sb at (0.1250, 0.1250, 0.5442) and S at (0.1250, 0.1250, 0.0416).



Entry 7:
A geometry-optimized Tb6SbS12 structure. Source: the Alexandria database, functional GGA-PBE.

Its total magnetic moment is 0.005 Bohr magnetons per cell. The calculation puts the calculated total energy at -5.89 eV/atom. For the uncorrected formation energy, the calculation gives -1.601 eV/atom. The crystal system is trigonal.

It has space group R-3 (No. 148, hexagonal axes), with a = 11.8851 Å, b = 11.8851 Å, c = 11.2913 Å, α = 90.00°, β = 90.00° and γ = 120.00°. Symmetry generates all atoms from Tb at (0.0491, 0.2713, 0.1401), Sb at (0.0000, 0.0000, 0.5000), S at (0.0347, 0.2180, 0.8976) and S at (0.0637, 0.2077, 0.3847).



Entry 8:
A geometry-optimized Tb4Sb3S structure. Source: the Alexandria database, functional GGA-PBE.

Its total magnetic moment is 0.000 Bohr magnetons per cell. The calculation puts the calculated total energy at -5.70 eV/atom. For the uncorrected formation energy, the calculation gives -1.327 eV/atom. The crystal system is orthorhombic.

It has space group Cmmm (No. 65), with a = 8.6026 Å, b = 12.1452 Å, c = 4.2983 Å, α = 90.00°, β = 90.00° and γ = 90.00°. Symmetry generates all atoms from Tb at (0.0000, 0.2433, 0.0000), Tb at (0.2389, 0.0000, 0.5000), Sb at (0.0000, 0.5000, 0.0000), Sb at (0.2500, 0.2500, 0.5000) and S at (0.0000, 0.0000, 0.0000).



What is the formula in the seventh record? Tb6SbS12